VASP calculation (GGA-PBE) on a relaxed CeMg6Sn crystal.

Computed properties:
DFT formation energy = -0.50 eV per formula unit
Fermi-level density of states = 1.16 states/eV per atom
Space-group type = No. 38

Lattice parameters (Å, degrees): 5.1758 6.4022 11.9042 90.00 90.00 90.00
Fractional coordinates of all 16 atoms:
Ce 0.0000 0.0000 0.0000
Ce 0.0000 0.5000 0.5000
Mg 0.0000 0.2492 0.7466
Mg 0.0000 0.2508 0.2466
Mg 0.0000 0.7492 0.2466
Mg 0.0000 0.7508 0.7466
Mg 0.5000 0.0000 0.1634
Mg 0.5000 0.0000 0.6473
Mg 0.5000 0.2462 0.8973
Mg 0.5000 0.2538 0.3973
Mg 0.5000 0.5000 0.1473
Mg 0.5000 0.5000 0.6634
Mg 0.5000 0.7462 0.3973
Mg 0.5000 0.7538 0.8973
Sn 0.0000 0.0000 0.4873
Sn 0.0000 0.5000 0.9873



VASP calculation (GGA-PBE) on a relaxed TaBe2Re crystal.

Computed properties:
DFT formation energy = 0.28 eV per formula unit
Fermi-level density of states = 0.50 states/eV per atom
Distance to the lowest polymorph of the same formula = 1.81 eV per formula unit
Space-group type = No. 12

Lattice parameters (Å, degrees): 5.3614 6.9389 2.7384 90.00 98.91 90.00
Fractional coordinates of all 8 atoms:
Ta 0.0000 0.0000 0.0000
Ta 0.5000 0.5000 0.0000
Be 0.2500 0.2500 0.5000
Be 0.2500 0.7500 0.5000
Be 0.7500 0.2500 0.5000
Be 0.7500 0.7500 0.5000
Re 0.0000 0.5000 0.0000
Re 0.5000 0.0000 0.0000



VASP calculation (GGA-PBE) on a relaxed ZnRh2F4 crystal.

Computed properties:
VASP energy = -30.3 eV per formula unit
Fermi-level density of states = 0.69 states/eV per atom
Space-group type = No. 139

Lattice parameters (Å, degrees): 3.7175 3.7175 16.2701 90.00 90.00 90.00
Fractional coordinates of all 14 atoms:
Zn 0.0000 0.0000 0.0000
Zn 0.5000 0.5000 0.5000
Rh 0.0000 0.0000 0.2648
Rh 0.0000 0.0000 0.7352
Rh 0.5000 0.5000 0.2352
Rh 0.5000 0.5000 0.7648
F 0.0000 0.0000 0.1432
F 0.0000 0.0000 0.8568
F 0.0000 0.5000 0.0000
F 0.0000 0.5000 0.5000
F 0.5000 0.0000 0.0000
F 0.5000 0.0000 0.5000
F 0.5000 0.5000 0.3568
F 0.5000 0.5000 0.6432



VASP calculation (GGA-PBE) on a relaxed PmNd2TmTe5 crystal.

Computed properties:
VASP energy = -42.1 eV per formula unit
Fermi-level density of states = 0.60 states/eV per atom
Space-group type = No. 123

Lattice parameters (Å, degrees): 5.4839 5.4839 11.7179 90.00 90.00 90.00
Fractional coordinates of all 9 atoms:
Pm 0.0000 0.0000 0.0000
Nd 0.5000 0.5000 0.3390
Nd 0.5000 0.5000 0.6610
Tm 0.0000 0.0000 0.5000
Te 0.0000 0.0000 0.2501
Te 0.0000 0.0000 0.7499
Te 0.0000 0.5000 0.5000
Te 0.5000 0.0000 0.5000
Te 0.5000 0.5000 0.0000